Entry 1:
# PBE TbPmRh, relaxed
data_TbPmRh
_chemical_formula_sum 'Tb2 Pm2 Rh2'
_cell_length_a 3.496
_cell_length_b 7.049
_cell_length_c 6.888
_cell_angle_alpha 105.05
_cell_angle_beta 104.60
_cell_angle_gamma 90.15
_symmetry_space_group_name_H-M 'P 1'
_symmetry_Int_Tables_number 1
_symmetry_space_group_name_Hall 'P 1'
loop_
_atom_site_label
_atom_site_fract_x
_atom_site_fract_y
_atom_site_fract_z
Pm1 0.567 0.617 0.902
Pm2 0.310 0.487 0.387
Tb1 0.310 0.989 0.386
Tb2 0.568 0.115 0.903
Rh1 0.937 0.816 0.641
Rh2 0.941 0.288 0.648
# SG   P-1, No. 2
# Calculated formation energy   -493.8 meV/atom
# Volume   158.19 Å³ per cell
# Energy above the lowest structure with this stoichiometry   0.25 eV per formula unit

=====

Entry 2:
# PBE Tb2PmRh9, relaxed
data_Tb2PmRh9
_chemical_formula_sum 'Tb2 Pm1 Rh9'
_cell_length_a 5.286
_cell_length_b 5.286
_cell_length_c 9.295
_cell_angle_alpha 73.48
_cell_angle_beta 73.48
_cell_angle_gamma 60.00
_symmetry_space_group_name_H-M 'P 1'
_symmetry_Int_Tables_number 1
_symmetry_space_group_name_Hall 'P 1'
loop_
_atom_site_label
_atom_site_fract_x
_atom_site_fract_y
_atom_site_fract_z
Rh1 0.667 0.667 0.999
Rh2 0.583 0.083 0.752
Rh3 0.917 0.417 0.248
Rh4 0.583 0.583 0.752
Rh5 0.083 0.583 0.752
Rh6 0.417 0.417 0.248
Rh7 0.417 0.917 0.248
Rh8 0.333 0.333 0.001
Rh9 0.500 0.500 0.500
Tb1 0.861 0.861 0.418
Tb2 0.139 0.139 0.582
Pm1 0.000 0.000 0.000
# SG   R-3m, No. 166
# Calculated formation energy   -558.8 meV/atom
# Volume   212.42 Å³ per cell